Entry 1:
PrHo2Tl after structural relaxation, computed with PBE.

polymorph energy (0 for the lowest one)	73.0	meV per atom
SG	Cmcm

Structure (CIF):
```
data_PrHo2Tl
_chemical_formula_sum 'Pr2 Ho4 Tl2'
_cell_length_a 4.656
_cell_length_b 6.717
_cell_length_c 8.704
_cell_angle_alpha 90.00
_cell_angle_beta 90.00
_cell_angle_gamma 110.27
_symmetry_space_group_name_H-M 'P 1'
_symmetry_Int_Tables_number 1
_symmetry_space_group_name_Hall 'P 1'
loop_
_atom_site_label
_atom_site_type_symbol
_atom_site_fract_x
_atom_site_fract_y
_atom_site_fract_z
Pr1 Pr 0.943 0.886 0.250
Pr2 Pr 0.057 0.114 0.750
Ho1 Ho 0.364 0.729 0.551
Ho2 Ho 0.636 0.271 0.449
Ho3 Ho 0.364 0.729 0.949
Ho4 Ho 0.636 0.271 0.051
Tl1 Tl 0.768 0.537 0.750
Tl2 Tl 0.232 0.463 0.250
```

=====

Entry 2:
Pm2ScTeO8 after structural relaxation, computed with PBE.

SG	Cmmm
raw formation energy	-28.70	eV/f.u.

Structure (CIF):
```
data_Pm2ScTeO8
_chemical_formula_sum 'Pm2 Sc1 Te1 O8'
_cell_length_a 5.101
_cell_length_b 5.099
_cell_length_c 6.827
_cell_angle_alpha 90.00
_cell_angle_beta 90.00
_cell_angle_gamma 92.21
_symmetry_space_group_name_H-M 'P 1'
_symmetry_Int_Tables_number 1
_symmetry_space_group_name_Hall 'P 1'
loop_
_atom_site_label
_atom_site_type_symbol
_atom_site_fract_x
_atom_site_fract_y
_atom_site_fract_z
Pm1 Pm 0.500 0.500 0.747
Pm2 Pm 0.500 0.500 0.253
Sc1 Sc 0.000 0.000 0.500
Te1 Te 0.000 0.000 0.000
O1 O 0.175 0.824 0.219
O2 O 0.728 0.728 0.000
O3 O 0.825 0.175 0.219
O4 O 0.825 0.176 0.781
O5 O 0.272 0.272 0.000
O6 O 0.175 0.825 0.781
O7 O 0.713 0.713 0.500
O8 O 0.287 0.287 0.500
```

=====

Entry 3:
Cs2BeZnCl6 after structural relaxation, computed with PBE.

SG	I4/mmm
raw formation energy	-14.36	eV/f.u.

Structure (CIF):
```
data_Cs2BeZnCl6
_chemical_formula_sum 'Cs2 Be1 Zn1 Cl6'
_cell_length_a 7.179
_cell_length_b 7.179
_cell_length_c 7.435
_cell_angle_alpha 61.13
_cell_angle_beta 61.13
_cell_angle_gamma 90.00
_symmetry_space_group_name_H-M 'P 1'
_symmetry_Int_Tables_number 1
_symmetry_space_group_name_Hall 'P 1'
loop_
_atom_site_label
_atom_site_type_symbol
_atom_site_fract_x
_atom_site_fract_y
_atom_site_fract_z
Cs1 Cs 0.750 0.250 0.500
Cs2 Cs 0.250 0.750 0.500
Be1 Be 0.500 0.500 0.000
Zn1 Zn 0.000 0.000 0.000
Cl1 Cl 0.201 0.201 0.599
Cl2 Cl 0.799 0.799 0.401
Cl3 Cl 0.286 0.286 0.000
Cl4 Cl 0.714 0.714 0.000
Cl5 Cl 0.714 0.286 0.000
Cl6 Cl 0.286 0.714 0.000
```

=====

Entry 4:
Pr4I3N2 after structural relaxation, computed with PBE.

polymorph energy (0 for the lowest one)	0.0	meV per atom
SG	C2/m
raw formation energy	-11.13	eV/f.u.

Structure (CIF):
```
data_Pr4I3N2
_chemical_formula_sum 'Pr4 I3 N2'
_cell_length_a 4.006
_cell_length_b 9.438
_cell_length_c 9.512
_cell_angle_alpha 130.61
_cell_angle_beta 90.00
_cell_angle_gamma 102.25
_symmetry_space_group_name_H-M 'P 1'
_symmetry_Int_Tables_number 1
_symmetry_space_group_name_Hall 'P 1'
loop_
_atom_site_label
_atom_site_type_symbol
_atom_site_fract_x
_atom_site_fract_y
_atom_site_fract_z
Pr1 Pr 0.305 0.609 0.726
Pr2 Pr 0.695 0.391 0.274
Pr3 Pr 0.144 0.287 0.857
Pr4 Pr 0.856 0.713 0.143
I1 I 0.393 0.786 0.501
I2 I 0.000 0.000 0.000
I3 I 0.607 0.214 0.499
N1 N 0.300 0.601 0.965
N2 N 0.700 0.399 0.035
```

=====

Entry 5:
AsH3I after structural relaxation, computed with PBE.

polymorph energy (0 for the lowest one)	1118.1	meV per atom
SG	Pm-3m

Structure (CIF):
```
data_AsH3I
_chemical_formula_sum 'As1 H3 I1'
_cell_length_a 4.040
_cell_length_b 4.040
_cell_length_c 4.040
_cell_angle_alpha 90.00
_cell_angle_beta 90.00
_cell_angle_gamma 90.00
_symmetry_space_group_name_H-M 'P 1'
_symmetry_Int_Tables_number 1
_symmetry_space_group_name_Hall 'P 1'
loop_
_atom_site_label
_atom_site_type_symbol
_atom_site_fract_x
_atom_site_fract_y
_atom_site_fract_z
I1 I 0.000 0.000 0.000
H1 H 0.000 0.500 0.000
H2 H 0.000 0.000 0.500
H3 H 0.500 0.000 0.000
As1 As 0.500 0.500 0.500
```

=====

Entry 6:
Ti5Co2TcRh2 after structural relaxation, computed with PBE.

SG	P4/mbm

Structure (CIF):
```
data_Ti5Co2TcRh2
_chemical_formula_sum 'Ti10 Co4 Tc2 Rh4'
_cell_length_a 3.077
_cell_length_b 9.820
_cell_length_c 9.820
_cell_angle_alpha 90.00
_cell_angle_beta 90.00
_cell_angle_gamma 90.00
_symmetry_space_group_name_H-M 'P 1'
_symmetry_Int_Tables_number 1
_symmetry_space_group_name_Hall 'P 1'
loop_
_atom_site_label
_atom_site_type_symbol
_atom_site_fract_x
_atom_site_fract_y
_atom_site_fract_z
Ti1 Ti 0.500 0.195 0.083
Ti2 Ti 0.500 0.805 0.917
Ti3 Ti 0.500 0.083 0.805
Ti4 Ti 0.500 0.695 0.417
Ti5 Ti 0.500 0.917 0.195
Ti6 Ti 0.500 0.305 0.583
Ti7 Ti 0.500 0.583 0.695
Ti8 Ti 0.500 0.417 0.305
Ti9 Ti 0.500 0.500 0.000
Ti10 Ti 0.500 0.000 0.500
Co1 Co 0.000 0.128 0.628
Co2 Co 0.000 0.872 0.372
Co3 Co 0.000 0.628 0.872
Co4 Co 0.000 0.372 0.128
Tc1 Tc 0.000 0.000 0.000
Tc2 Tc 0.000 0.500 0.500
Rh1 Rh 0.000 0.668 0.168
Rh2 Rh 0.000 0.332 0.832
Rh3 Rh 0.000 0.168 0.332
Rh4 Rh 0.000 0.832 0.668
```

=====

Entry 7:
Zr3SnAu after structural relaxation, computed with PBE.

polymorph energy (0 for the lowest one)	580.0	meV per atom
SG	Pm-3m

Structure (CIF):
```
data_Zr3SnAu
_chemical_formula_sum 'Zr3 Sn1 Au1'
_cell_length_a 5.164
_cell_length_b 5.164
_cell_length_c 5.164
_cell_angle_alpha 90.00
_cell_angle_beta 90.00
_cell_angle_gamma 90.00
_symmetry_space_group_name_H-M 'P 1'
_symmetry_Int_Tables_number 1
_symmetry_space_group_name_Hall 'P 1'
loop_
_atom_site_label
_atom_site_type_symbol
_atom_site_fract_x
_atom_site_fract_y
_atom_site_fract_z
Au1 Au 0.000 0.000 0.000
Sn1 Sn 0.500 0.500 0.500
Zr1 Zr 0.000 0.500 0.000
Zr2 Zr 0.000 0.000 0.500
Zr3 Zr 0.500 0.000 0.000
```

=====

Entry 8:
SrFe4As after structural relaxation, computed with PBE.

SG	F-43m

Structure (CIF):
```
data_SrFe4As
_chemical_formula_sum 'Sr1 Fe4 As1'
_cell_length_a 5.180
_cell_length_b 5.180
_cell_length_c 5.180
_cell_angle_alpha 60.00
_cell_angle_beta 60.00
_cell_angle_gamma 60.00
_symmetry_space_group_name_H-M 'P 1'
_symmetry_Int_Tables_number 1
_symmetry_space_group_name_Hall 'P 1'
loop_
_atom_site_label
_atom_site_type_symbol
_atom_site_fract_x
_atom_site_fract_y
_atom_site_fract_z
Sr1 Sr 0.750 0.750 0.750
Fe1 Fe 0.874 0.375 0.375
Fe2 Fe 0.375 0.375 0.874
Fe3 Fe 0.375 0.874 0.375
Fe4 Fe 0.375 0.375 0.375
As1 As 0.000 0.000 0.000
```

=====

no.,spin magnetization (μB/atom),raw total energy (eV/atom),calculated density (g/cm3)
1,0.00,-4.181,8.78
2,0.08,-7.278,5.53
3,0.00,-3.215,3.28
4,0.11,-5.727,6.16
5,0.00,-2.043,5.16
6,0.00,-8.187,7.40
7,0.00,-6.242,7.11
8,1.84,-6.341,6.52